This record from Alexandria via LeMat-Bulk describes crystalline AgMoOs2 at its relaxed geometry. The functional is PBE.

a = 4.532 Å, b = 2.703 Å, c = 5.111 Å
α = 83.99°, β = 90.00°, γ = 90.00°
Fractional positions:
Ag (0.500, 0.250, 0.250)
Mo (0.500, 0.750, 0.750)
Os (0.000, 0.956, 0.990)
Os (0.000, 0.544, 0.510)

Results
- calculated formation energy (meV/atom) = 618
- excess energy over the best structure of this formula in the dataset (meV per atom) = 344.7